TaBi, relaxed, DFT GGA-PBE; energy of formation = 0.450 eV/atom; SG = No. 59
1.0
3.3866 0.0000 0.0000
0.0000 7.0136 0.0000
0.0000 0.0000 12.8441
Bi Ta
6 6
Direct
0.0000 0.6253 0.5000
0.5000 0.2950 0.2707
0.0000 0.7050 0.2293
0.5000 0.3747 0.0000
0.5000 0.2950 0.7293
0.0000 0.7050 0.7707
0.5000 0.2439 0.5000
0.0000 0.0095 0.6136
0.0000 0.0095 0.3864
0.5000 0.9905 0.1136
0.5000 0.9905 0.8864
0.0000 0.7561 0.0000

=====

CeHoZnPd, relaxed, DFT GGA-PBE; energy of formation = -0.480 eV/atom; SG = No. 216
1.0
5.0478 0.0000 0.0000
2.5239 4.3715 0.0000
2.5239 1.4572 4.1215
Ce Ho Zn Pd
1 1 1 1
Direct
0.2500 0.2500 0.2500
0.7500 0.7500 0.7500
0.0000 0.0000 0.0000
0.5000 0.5000 0.5000

=====

The highest energy of formation belongs to which entry?
TaBi